1.
The following is a DFT calculation (GGA-PBE) of crystalline CsFeRhSe3 at its relaxed geometry.

Cell lengths 8.984, 3.869, 10.025 Å; angles 90.00, 115.76, 90.00 degrees
Positions (direct):
1 Cs 0.019 0.250 0.257
2 Cs 0.981 0.750 0.743
3 Fe 0.487 0.750 0.408
4 Fe 0.513 0.250 0.592
5 Rh 0.480 0.250 0.153
6 Rh 0.520 0.750 0.847
7 Se 0.290 0.750 0.151
8 Se 0.330 0.750 0.563
9 Se 0.356 0.250 0.877
10 Se 0.644 0.750 0.123
11 Se 0.670 0.250 0.437
12 Se 0.710 0.250 0.849

SG: P2_1/m (11)
Raw total energy in eV/atom: -5.099

=====

2.
The following is a DFT calculation (GGA-PBE) of crystalline CdAs at its relaxed geometry.

Cell lengths 13.808, 2.894, 7.027 Å; angles 90.00, 91.99, 90.00 degrees
Positions (direct):
1 Cd 0.000 0.000 0.000
2 Cd 0.103 0.500 0.349
3 Cd 0.317 0.500 0.759
4 Cd 0.500 0.500 0.000
5 Cd 0.603 0.000 0.349
6 Cd 0.817 0.000 0.759
7 As 0.136 0.000 0.705
8 As 0.265 0.000 0.167
9 As 0.397 0.000 0.426
10 As 0.636 0.500 0.705
11 As 0.765 0.500 0.167
12 As 0.897 0.500 0.426

Formation energy from the elements in kJ/mol of atoms: 12.1
SG: Cm (8)
Energy above the lowest structure with this stoichiometry in meV/atom: 206.5

=====

3.
The following is a DFT calculation (GGA-PBE) of crystalline SrZnAs3 at its relaxed geometry.

Cell lengths 4.976, 4.976, 4.976 Å; angles 90.00, 90.00, 90.00 degrees
Positions (direct):
1 Sr 0.000 0.000 0.000
2 Zn 0.500 0.500 0.500
3 As 0.000 0.500 0.500
4 As 0.500 0.000 0.500
5 As 0.500 0.500 0.000

Formation energy from the elements in kJ/mol of atoms: -7.2
SG: Pm-3m (221)
Energy above the lowest structure with this stoichiometry in meV/atom: 0.0